1.
A relaxed structure of LaGa2Pt3, computed with PBE-GGA.

abc: 8.101 10.794 5.664
angles: 90.00 90.00 90.00
Space group Cmcm (No. 63)
Symmetry-distinct sites (fractional):
La1 0.000 0.184 0.250 [4 per cell]
Ga1 0.185 0.500 0.000 [8 per cell]
Pt1 0.000 0.366 0.750 [4 per cell]
Pt2 0.186 0.162 0.750 [8 per cell]

Calculated values
E_form = -0.80 eV per atom

2.
A relaxed structure of Dy2TaSi2Ru5, computed with PBE-GGA.

abc: 10.071 10.071 3.230
angles: 90.00 90.00 90.00
Space group P4/mbm (No. 127)
Symmetry-distinct sites (fractional):
Dy1 0.173 0.327 0.000 [4 per cell]
Ta1 0.000 0.000 0.000 [2 per cell]
Si1 0.126 0.626 0.000 [4 per cell]
Ru1 0.000 0.500 0.500 [2 per cell]
Ru2 0.067 0.792 0.500 [8 per cell]

Calculated values
total DFT energy (no corrections) = -8.514 eV/atom

3.
A relaxed structure of Hg2AsPt2, computed with PBE-GGA.

abc: 6.821 6.821 4.185
angles: 90.00 90.00 90.00
Space group P4/mbm (No. 127)
Symmetry-distinct sites (fractional):
Hg1 0.156 0.344 0.000 [4 per cell]
As1 0.000 0.000 0.500 [2 per cell]
Pt1 0.152 0.652 0.500 [4 per cell]

Calculated values
E_form = 0.08 eV per atom

4.
A relaxed structure of KP3S, computed with PBE-GGA.

abc: 6.639 6.639 6.639
angles: 90.00 90.00 90.00
Space group Pm-3m (No. 221)
Symmetry-distinct sites (fractional):
K1 0.000 0.000 0.000 [1 per cell]
P1 0.000 0.000 0.500 [3 per cell]
S1 0.500 0.500 0.500 [1 per cell]

Calculated values
ΔE to the lowest computed polymorph = 1.583 eV per atom

no.,calculated density (g/cm³),total moment (Bohr magnetons per cell)
1,11.6,0.00
2,10.8,0.00
3,14.8,0.00
4,0.9,10.00